The following is a PBE-GGA calculation of a geometry-optimized Na2Cu2Br5 structure, from Alexandria.

Geometry as POSCAR:
```
Na2Cu2Br5
1.0
-9.0385 3.6821 3.5902
9.0385 -3.6821 3.5902
9.0385 3.6821 -3.5902
Na Cu Br
4 4 10
direct
0.0348 0.1081 0.1429
0.0348 0.3919 0.4268
0.9652 0.6081 0.5732
0.9652 0.8919 0.8571
0.3897 0.7260 0.1637
0.5557 0.0557 0.5000
0.5557 0.5557 0.0000
0.5623 0.2260 0.8363
0.0182 0.3805 0.1377
0.0600 0.3261 0.7809
0.0600 0.7791 0.2339
0.2427 0.8805 0.8623
0.4995 0.2255 0.5600
0.4995 0.4395 0.7740
0.5452 0.2791 0.2191
0.5452 0.8261 0.7661
0.6655 0.7255 0.2260
0.6655 0.9395 0.4400
```

## Properties
- E above lowest polymorph: 0 meV/atom
- Density: 3.98 g/cm3
- ΔE_f (raw): -817 meV per atom
- Space group: Ima2 (46)

The following is a PBE-GGA calculation of a geometry-optimized Er8AsP4S3 structure, from Alexandria.

Geometry as POSCAR:
```
Er8AsP4S3
1.0
3.9477 2.2792 6.4573
-3.9477 2.2792 6.4573
0.0000 -4.5584 6.4573
Er As P S
8 1 4 3
direct
0.2469 0.2469 0.2469
0.2475 0.7471 0.7471
0.2529 0.2529 0.7525
0.2529 0.7525 0.2529
0.7471 0.2475 0.7471
0.7471 0.7471 0.2475
0.7525 0.2529 0.2529
0.7531 0.7531 0.7531
0.0000 0.0000 0.0000
0.0000 0.0000 0.5000
0.0000 0.5000 0.0000
0.5000 0.0000 0.0000
0.5000 0.5000 0.5000
0.0000 0.5000 0.5000
0.5000 0.0000 0.5000
0.5000 0.5000 0.0000
```

## Properties
- Density: 7.78 g/cm3
- ΔE_f (raw): -1796 meV per atom
- Space group: R-3m (166)

The following is a PBE-GGA calculation of a geometry-optimized Cs2GeHI6 structure, from Alexandria.

Geometry as POSCAR:
```
Cs2GeHI6
1.0
-3.8621 3.8621 6.6870
3.8621 -3.8621 6.6870
3.8621 3.8621 -6.6870
Cs Ge H I
2 1 1 6
direct
0.2500 0.7500 0.5000
0.7500 0.2500 0.5000
0.0000 0.0000 0.0000
0.5000 0.5000 0.0000
0.2186 0.2186 0.0000
0.2623 0.2623 0.5245
0.2623 0.7377 0.0000
0.7377 0.2623 0.0000
0.7377 0.7377 0.4755
0.7814 0.7814 0.0000
```

## Properties
- Density: 4.58 g/cm3
- Uncorrected energy: -2.419 eV/atom
- Space group: I4/mmm (139)

The following is a PBE-GGA calculation of a geometry-optimized LaTb2UP4 structure, from Alexandria.

Geometry as POSCAR:
```
LaTb2UP4
1.0
-2.8738 2.8738 5.7484
2.8738 -2.8738 5.7484
2.8738 2.8738 -5.7484
La Tb U P
1 2 1 4
direct
0.0000 0.0000 0.0000
0.5000 0.5000 0.0000
0.7500 0.2500 0.5000
0.2500 0.7500 0.5000
0.0083 0.5083 0.5000
0.2551 0.2551 0.0000
0.4917 0.9917 0.5000
0.7449 0.7449 0.0000
```

## Properties
- Density: 7.16 g/cm3
- ΔE_f: -1405 meV per atom
- Space group: I-4m2 (119)

The following is a PBE-GGA calculation of a geometry-optimized CrRh2Pb structure, from Alexandria.

Geometry as POSCAR:
```
CrRh2Pb
1.0
0.0000 3.2120 3.2120
3.2120 0.0000 3.2120
3.2120 3.2120 0.0000
Cr Rh Pb
1 2 1
direct
0.0000 0.0000 0.0000
0.5000 0.5000 0.5000
0.7500 0.7500 0.7500
0.2500 0.2500 0.2500
```

## Properties
- Density: 11.65 g/cm3
- ΔE_f: 289 meV per atom
- Space group: F-43m (216)

The following is a PBE-GGA calculation of a geometry-optimized SrGa2Os structure, from Alexandria.

Geometry as POSCAR:
```
SrGa2Os
1.0
0.0000 3.3573 3.3573
3.3573 0.0000 3.3573
3.3573 3.3573 0.0000
Sr Ga Os
1 2 1
direct
0.0000 0.0000 0.0000
0.2500 0.2500 0.2500
0.7500 0.7500 0.7500
0.5000 0.5000 0.5000
```

## Properties
- Density: 9.16 g/cm3
- ΔE_f: 196 meV per atom
- Space group: Fm-3m (225)

The following is a PBE-GGA calculation of a geometry-optimized B2C structure, from Alexandria.

Geometry as POSCAR:
```
B2C
1.0
2.7744 0.0000 0.0000
-1.3872 2.4027 0.0000
0.0000 0.0000 6.4415
B C
4 2
direct
0.3333 0.6667 0.2034
0.3333 0.6667 0.4944
0.6667 0.3333 0.5056
0.6667 0.3333 0.7966
0.0000 0.0000 0.1128
0.0000 0.0000 0.8872
```

## Properties
- E above lowest polymorph: 436 meV/atom
- Density: 2.60 g/cm3
- ΔE_f: 621 meV per atom
- Space group: P-3m1 (164)

The following is a PBE-GGA calculation of a geometry-optimized Mg2CrTe structure, from Alexandria.

Geometry as POSCAR:
```
Mg2CrTe
1.0
0.0000 3.5420 3.5420
3.5420 0.0000 3.5420
3.5420 3.5420 0.0000
Mg Cr Te
2 1 1
direct
0.0000 0.0000 0.0000
0.2500 0.2500 0.2500
0.5000 0.5000 0.5000
0.7500 0.7500 0.7500
```

## Properties
- Density: 4.26 g/cm3
- ΔE_f (raw): 238 meV per atom
- Space group: F-43m (216)

The following is a PBE-GGA calculation of a geometry-optimized Na2TmBiSe4 structure, from Alexandria.

Geometry as POSCAR:
```
Na2TmBiSe4
1.0
7.2517 0.0000 0.0000
0.0000 4.1623 0.0000
-2.4087 0.0000 7.0465
Na Tm Bi Se
2 1 1 4
direct
0.0000 0.0000 0.0000
0.5000 0.5000 0.0000
0.0000 0.5000 0.5000
0.5000 0.0000 0.5000
0.2345 0.0000 0.7279
0.2449 0.5000 0.2655
0.7551 0.5000 0.7345
0.7655 0.0000 0.2721
```

## Properties
- Density: 5.78 g/cm3
- ΔE_f (raw): -1216 meV per atom
- Space group: P2/m (10)

The following is a PBE-GGA calculation of a geometry-optimized TaOsAu2 structure, from Alexandria.

Geometry as POSCAR:
```
TaOsAu2
1.0
2.7194 -4.2105 0.0000
2.7194 4.2105 0.0000
0.0000 0.0000 2.9317
Ta Os Au
1 1 2
direct
0.0000 0.0000 0.0000
0.5000 0.5000 0.0000
0.0000 0.5000 0.5000
0.5000 0.0000 0.5000
```

## Properties
- E above lowest polymorph: 275 meV/atom
- Density: 18.92 g/cm3
- ΔE_f: 311 meV per atom
- Space group: Cmmm (65)

The following is a PBE-GGA calculation of a geometry-optimized LaHg2Br structure, from Alexandria.

Geometry as POSCAR:
```
LaHg2Br
1.0
6.7496 -1.8587 0.0000
6.7496 1.8587 0.0000
-1.8030 0.0000 4.6162
La Hg Br
1 2 1
direct
0.0000 0.0000 0.0000
0.2783 0.2783 0.7777
0.7217 0.7217 0.2223
0.5000 0.5000 0.5000
```

## Properties
- E above lowest polymorph: 5 meV/atom
- Density: 8.89 g/cm3
- ΔE_f (raw): -701 meV per atom
- Space group: C2/m (12)

The following is a PBE-GGA calculation of a geometry-optimized PrPuHgGe structure, from Alexandria.

Geometry as POSCAR:
```
PrPuHgGe
1.0
0.0000 3.7431 3.7431
3.7431 0.0000 3.7431
3.7431 3.7431 0.0000
Pr Pu Hg Ge
1 1 1 1
direct
0.0000 0.0000 0.0000
0.5000 0.5000 0.5000
0.7500 0.7500 0.7500
0.2500 0.2500 0.2500
```

## Properties
- Density: 10.42 g/cm3
- ΔE_f: -380 meV per atom
- Space group: F-43m (216)

> Which of these has the highest density?

TaOsAu2

Repeat the first record exactly.
The following is a PBE-GGA calculation of a geometry-optimized Na2Cu2Br5 structure, from Alexandria.

Geometry as POSCAR:
```
Na2Cu2Br5
1.0
-9.0385 3.6821 3.5902
9.0385 -3.6821 3.5902
9.0385 3.6821 -3.5902
Na Cu Br
4 4 10
direct
0.0348 0.1081 0.1429
0.0348 0.3919 0.4268
0.9652 0.6081 0.5732
0.9652 0.8919 0.8571
0.3897 0.7260 0.1637
0.5557 0.0557 0.5000
0.5557 0.5557 0.0000
0.5623 0.2260 0.8363
0.0182 0.3805 0.1377
0.0600 0.3261 0.7809
0.0600 0.7791 0.2339
0.2427 0.8805 0.8623
0.4995 0.2255 0.5600
0.4995 0.4395 0.7740
0.5452 0.2791 0.2191
0.5452 0.8261 0.7661
0.6655 0.7255 0.2260
0.6655 0.9395 0.4400
```

## Properties
- E above lowest polymorph: 0 meV/atom
- Density: 3.98 g/cm3
- ΔE_f (raw): -817 meV per atom
- Space group: Ima2 (46)